Entry from the Alexandria database: an optimized crystal structure of NiSn2GeRh (PBE-GGA).

Cell and atoms, written as POSCAR:
```
NiSn2GeRh
1.0
4.915 0.000 0.000
0.000 4.915 0.000
0.000 0.000 4.350
Ni Sn Ge Rh
1 2 1 1
direct
0.000 0.000 0.000
0.000 0.500 0.000
0.500 0.000 0.000
0.000 0.000 0.500
0.500 0.500 0.500
```

Computed properties:
density = 7.453 g/cm3
formation enthalpy at 0 K = 167 kJ/mol of formula units
DOS(E_F) = 4.25 states/eV/f.u.
calculated volume = 105.09 Å³/cell